No. 1
! LaU2S4 PBE optimized geometry; values from VASP
! * formation energy from raw total energies: -1.61 eV per atom
! * SG: Cmcm
&SYSTEM
  ibrav = 0, nat = 14, ntyp = 3
/
ATOMIC_SPECIES
La 138.91 La.upf
U 238.03 U.upf
S 32.06 S.upf
CELL_PARAMETERS angstrom
1.945 -6.491 0.000
1.945 6.491 0.000
0.000 0.000 13.214
ATOMIC_POSITIONS crystal
La 0.115 0.885 0.750
La 0.885 0.115 0.250
U 0.366 0.634 0.562
U 0.366 0.634 0.938
U 0.634 0.366 0.062
U 0.634 0.366 0.438
S 0.000 0.000 0.000
S 0.000 0.000 0.500
S 0.271 0.729 0.124
S 0.271 0.729 0.376
S 0.450 0.550 0.750
S 0.550 0.450 0.250
S 0.729 0.271 0.624
S 0.729 0.271 0.876



No. 2
! ScTa2 PBE optimized geometry; values from VASP
! * ΔH_f (0 K): 232 meV per atom
! * distance to the lowest polymorph of the same formula: 75 meV/atom
! * SG: I4/mmm
&SYSTEM
  ibrav = 0, nat = 3, ntyp = 2
/
ATOMIC_SPECIES
Sc 44.96 Sc.upf
Ta 180.95 Ta.upf
CELL_PARAMETERS angstrom
-1.423 1.423 7.285
1.423 -1.423 7.285
1.423 1.423 -7.285
ATOMIC_POSITIONS crystal
Sc 0.000 0.000 0.000
Ta 0.329 0.329 0.000
Ta 0.671 0.671 0.000



It is found that the Fermi-level density of states values, taken in the order of the records, are 10.815; 4.132 states/eV/f.u..
It is found that the energy values, taken in the order of the records, are -7.8961; -9.7803 eV/atom.